(P)
The following is a PBE-GGA calculation of a geometry-optimized Nd4Y5Er2 structure, from Alexandria.

Calculated values
Total magnetic moment (μB/f.u.): 0.00
ρ (Mg/m³): 6.0

```
data_Nd4Y5Er2
_cell_length_a 23.952
_cell_length_b 3.521
_cell_length_c 8.990
_cell_angle_alpha 90.00
_cell_angle_beta 98.84
_cell_angle_gamma 90.00
_space_group_name_H-M_alt 'C 1 2/m 1'
_space_group_IT_number 12
_space_group_name_Hall '-C 2y'
loop_
_atom_site_label
_atom_site_type_symbol
_atom_site_fract_x
_atom_site_fract_y
_atom_site_fract_z
Nd1 Nd 0.026 0.000 0.187
Nd2 Nd 0.130 0.500 0.036
Y1 Y 0.000 0.500 0.500
Y2 Y 0.176 0.000 0.402
Y3 Y 0.232 0.000 0.824
Er1 Er 0.101 0.000 0.700
```

(Q)
The following is a PBE-GGA calculation of a geometry-optimized Nd4Y5Er2 structure, from Alexandria.

Calculated values
Total magnetic moment (μB/f.u.): 0.00
ρ (Mg/m³): 6.0

```
data_Nd4Y5Er2
_cell_length_a 24.171
_cell_length_b 3.559
_cell_length_c 8.682
_cell_angle_alpha 90.00
_cell_angle_beta 94.61
_cell_angle_gamma 90.00
_space_group_name_H-M_alt 'C 1 2/m 1'
_space_group_IT_number 12
_space_group_name_Hall '-C 2y'
loop_
_atom_site_label
_atom_site_type_symbol
_atom_site_fract_x
_atom_site_fract_y
_atom_site_fract_z
Nd1 Nd 0.040 0.000 0.344
Nd2 Nd 0.224 0.500 0.826
Y1 Y 0.000 0.500 0.000
Y2 Y 0.130 0.000 0.045
Y3 Y 0.185 0.000 0.474
Er1 Er 0.088 0.500 0.696
```

If you had to bet on the most stable structure above, which would it be? Bet on (Q).